Record 1
# LaZnTc | Alexandria via LeMat-Bulk | GGA-PBE | relaxed
data_LaZnTc
_symmetry_space_group_name_H-M 'P -6 m 2'
_symmetry_Int_Tables_number 187
_symmetry_space_group_name_Hall 'P -6 2'
_cell_length_a 4.4329
_cell_length_b 4.4329
_cell_length_c 3.8947
_cell_angle_alpha 90.00
_cell_angle_beta 90.00
_cell_angle_gamma 120.00
loop_
_atom_site_label
_atom_site_type_symbol
_atom_site_fract_x
_atom_site_fract_y
_atom_site_fract_z
La1 La 0.0000 0.0000 0.0000
Zn1 Zn 0.3333 0.6667 0.5000
Tc1 Tc 0.6667 0.3333 0.5000
# Calculated volume ... 66 Å³/cell
# Energy above the lowest structure with this stoichiometry ... 237 meV per atom
# DOS(E_F) ... 1.00 states/eV per atom



Record 2
# Y2Be | Alexandria via LeMat-Bulk | GGA-PBE | relaxed
data_Y2Be
_symmetry_space_group_name_H-M 'C 1 2/m 1'
_symmetry_Int_Tables_number 12
_cell_length_a 13.707
_cell_length_b 3.647
_cell_length_c 6.751
_cell_angle_alpha 90.00
_cell_angle_beta 115.86
_cell_angle_gamma 90.00
loop_
_symmetry_equiv_pos_as_xyz
'x,y,z'
'-x,-y,-z'
'-x,y,-z'
'x,-y,z'
'x+1/2,y+1/2,z'
'-x+1/2,-y+1/2,-z'
'-x+1/2,y+1/2,-z'
'x+1/2,-y+1/2,z'
loop_
_atom_site_label
_atom_site_type_symbol
_atom_site_fract_x
_atom_site_fract_y
_atom_site_fract_z
Y1 Y 0.014 0.000 0.266
Y2 Y 0.218 0.500 0.730
Be1 Be 0.105 0.500 0.078
# Calculated volume ... 304 Å³/cell
# Energy above the lowest structure with this stoichiometry ... 83 meV per atom
# DOS(E_F) ... 1.22 states/eV per atom



Record 3
# Tb12Pr3Zn | Alexandria via LeMat-Bulk | GGA-PBE | relaxed
data_Tb12Pr3Zn
_symmetry_space_group_name_H-M 'P 4/m m m'
_symmetry_Int_Tables_number 123
_symmetry_space_group_name_Hall '-P 4 2'
_cell_length_a 5.008
_cell_length_b 5.008
_cell_length_c 20.121
_cell_angle_alpha 90.00
_cell_angle_beta 90.00
_cell_angle_gamma 90.00
loop_
_atom_site_label
_atom_site_type_symbol
_atom_site_fract_x
_atom_site_fract_y
_atom_site_fract_z
Tb1 Tb 0.000 0.000 0.000
Tb2 Tb 0.000 0.000 0.240
Tb3 Tb 0.000 0.000 0.500
Tb4 Tb 0.000 0.500 0.115
Tb5 Tb 0.000 0.500 0.371
Pr1 Pr 0.500 0.500 0.244
Pr2 Pr 0.500 0.500 0.500
Zn1 Zn 0.500 0.500 0.000
# DFT total energy ... -4.43 eV/atom
# Calculated volume ... 505 Å³/cell
# DOS(E_F) ... 1.37 states/eV per atom



Record 4
# TbSm2NpO8 | Alexandria via LeMat-Bulk | GGA-PBE | relaxed
data_TbSm2NpO8
_symmetry_space_group_name_H-M 'P 1 2/m 1'
_symmetry_Int_Tables_number 10
_cell_length_a 3.911
_cell_length_b 7.531
_cell_length_c 5.490
_cell_angle_alpha 90.00
_cell_angle_beta 94.15
_cell_angle_gamma 90.00
loop_
_symmetry_equiv_pos_as_xyz
'x,y,z'
'-x,-y,-z'
'-x,y,-z'
'x,-y,z'
loop_
_atom_site_label
_atom_site_type_symbol
_atom_site_fract_x
_atom_site_fract_y
_atom_site_fract_z
Tb1 Tb 0.000 0.000 0.000
Sm1 Sm 0.500 0.242 0.500
Np1 Np 0.000 0.500 0.000
O1 O 0.030 0.279 0.768
O2 O 0.451 0.500 0.219
O3 O 0.499 0.000 0.249
# Calculated volume ... 161 Å³/cell
# DOS(E_F) ... 0.06 states/eV per atom
# Raw formation energy ... -3.158 eV/atom



Record 5
# CaTlB2 | Alexandria via LeMat-Bulk | GGA-PBE | relaxed
data_CaTlB2
_symmetry_space_group_name_H-M 'F m -3 m'
_symmetry_Int_Tables_number 225
_symmetry_space_group_name_Hall '-F 4 2 3'
_cell_length_a 6.458
_cell_length_b 6.458
_cell_length_c 6.458
_cell_angle_alpha 90.00
_cell_angle_beta 90.00
_cell_angle_gamma 90.00
loop_
_atom_site_label
_atom_site_type_symbol
_atom_site_fract_x
_atom_site_fract_y
_atom_site_fract_z
Ca1 Ca 0.000 0.000 0.000
Tl1 Tl 0.000 0.000 0.500
B1 B 0.250 0.250 0.250
# Calculated volume ... 269 Å³/cell
# Energy above the lowest structure with this stoichiometry ... 109 meV per atom
# DOS(E_F) ... 0.45 states/eV per atom



Record 6
# SbMoIr2 | Alexandria via LeMat-Bulk | GGA-PBE | relaxed
data_SbMoIr2
_symmetry_space_group_name_H-M 'R -3 m'
_symmetry_Int_Tables_number 166
_symmetry_space_group_name_Hall '-R 3 2"'
_cell_length_a 2.9355
_cell_length_b 2.9355
_cell_length_c 26.8408
_cell_angle_alpha 90.00
_cell_angle_beta 90.00
_cell_angle_gamma 120.00
loop_
_atom_site_label
_atom_site_type_symbol
_atom_site_fract_x
_atom_site_fract_y
_atom_site_fract_z
Sb1 Sb 0.0000 0.0000 0.0000
Mo1 Mo 0.0000 0.0000 0.5000
Ir1 Ir 0.0000 0.0000 0.2466
# Calculated volume ... 200 Å³/cell
# DOS(E_F) ... 0.86 states/eV per atom
# Raw formation energy ... 0.197 eV/atom



Record 7
# MnCr2GePt | Alexandria via LeMat-Bulk | GGA-PBE | relaxed
data_MnCr2GePt
_symmetry_space_group_name_H-M 'P 4/m m m'
_symmetry_Int_Tables_number 123
_symmetry_space_group_name_Hall '-P 4 2'
_cell_length_a 4.125
_cell_length_b 4.125
_cell_length_c 4.746
_cell_angle_alpha 90.00
_cell_angle_beta 90.00
_cell_angle_gamma 90.00
loop_
_atom_site_label
_atom_site_type_symbol
_atom_site_fract_x
_atom_site_fract_y
_atom_site_fract_z
Mn1 Mn 0.000 0.000 0.000
Cr1 Cr 0.000 0.500 0.000
Ge1 Ge 0.500 0.500 0.500
Pt1 Pt 0.000 0.000 0.500
# DFT total energy ... -6.82 eV/atom
# Calculated volume ... 81 Å³/cell
# DOS(E_F) ... 1.23 states/eV per atom